1.
# Re2NiBr

Crystalline Re2NiBr at its relaxed geometry (PBE, Alexandria via LeMat-Bulk). Values from VASP.

Computed properties:
Excess energy over the best structure of this formula in the dataset ... 0.422 eV/atom

Geometry as Quantum ESPRESSO input:
```
&SYSTEM
  ibrav = 0, nat = 4, ntyp = 3
/
ATOMIC_SPECIES
Re 186.21 Re.upf
Ni 58.69 Ni.upf
Br 79.90 Br.upf
CELL_PARAMETERS angstrom
4.131 -1.471 0.000
4.131 1.471 0.000
-1.252 0.000 5.334
ATOMIC_POSITIONS angstrom
Re 1.799 0.000 1.006
Re 5.210 0.000 4.328
Ni 4.131 0.000 0.000
Br -0.626 0.000 2.667
```

=====

2.
# Ba2NaCd3Hg12

Crystalline Ba2NaCd3Hg12 at its relaxed geometry (PBE, Alexandria via LeMat-Bulk). Values from VASP.

Computed properties:
Formation energy from the elements ... -0.165 eV per atom

Geometry as Quantum ESPRESSO input:
```
&SYSTEM
  ibrav = 0, nat = 18, ntyp = 4
/
ATOMIC_SPECIES
Ba 137.33 Ba.upf
Na 22.99 Na.upf
Cd 112.41 Cd.upf
Hg 200.59 Hg.upf
CELL_PARAMETERS angstrom
5.527 3.191 5.087
-5.527 3.191 5.087
0.000 -6.382 5.087
ATOMIC_POSITIONS angstrom
Ba 0.000 0.000 3.003
Ba 0.000 0.000 12.259
Na 0.000 0.000 7.631
Cd -2.763 -1.595 5.087
Cd -2.763 1.595 10.175
Cd 0.000 3.191 5.087
Hg 0.000 -3.367 4.137
Hg -2.916 1.684 4.137
Hg -2.638 -1.523 8.151
Hg 0.000 -3.046 7.111
Hg -2.638 1.523 7.111
Hg -2.916 -1.684 11.125
Hg 2.916 1.684 4.137
Hg 2.638 -1.523 8.151
Hg 0.000 3.046 8.151
Hg 2.638 1.523 7.111
Hg 2.916 -1.684 11.125
Hg 0.000 3.367 11.125
```

=====

3.
# Ce4YAs6

Crystalline Ce4YAs6 at its relaxed geometry (PBE, Alexandria via LeMat-Bulk). Values from VASP.

Computed properties:
Formation energy from the elements ... -1.212 eV per atom

Geometry as Quantum ESPRESSO input:
```
&SYSTEM
  ibrav = 0, nat = 22, ntyp = 3
/
ATOMIC_SPECIES
Ce 140.12 Ce.upf
Y 88.91 Y.upf
As 74.92 As.upf
CELL_PARAMETERS angstrom
5.749 3.319 4.835
-5.749 3.319 4.835
0.000 -6.639 4.835
ATOMIC_POSITIONS angstrom
Ce -3.552 0.487 6.044
Ce 0.000 0.000 3.626
Ce -2.198 -2.832 8.461
Ce 1.354 -3.319 6.044
Ce -1.354 3.319 8.461
Ce 2.198 2.832 6.044
Ce 0.000 0.000 10.879
Ce 3.552 -0.487 8.461
Y 0.000 0.000 0.000
Y 0.000 0.000 7.252
As -4.884 -1.233 8.020
As -1.375 -4.846 6.485
As -1.375 -1.793 5.602
As -3.509 3.613 6.485
As -0.865 2.087 5.602
As -2.240 0.294 8.902
As 2.240 -0.294 5.602
As 0.865 -2.087 8.902
As 3.509 -3.613 8.020
As 1.375 1.793 8.902
As 1.375 4.846 8.020
As 4.884 1.233 6.485
```